i.
HgMo2Cl after structural relaxation. Source: Alexandria via LeMat-Bulk, functional PBE.

- volume (Å³ per atom) = 25.2
- crystal system = monoclinic

Unit cell a=10.806 b=3.095 c=7.841 alpha=90.00 beta=129.65 gamma=90.00
Space group C2/m (No. 12)
Unique sites:
Hg 0.000 0.000 0.000 [2 per cell]
Mo 0.220 0.000 0.864 [4 per cell]
Cl 0.000 0.500 0.500 [2 per cell]

---

ii.
HgMo2Cl after structural relaxation. Source: Alexandria via LeMat-Bulk, functional PBE.

- volume (Å³ per atom) = 18.3
- crystal system = tetragonal

Unit cell a=3.937 b=3.937 c=4.732 alpha=90.00 beta=90.00 gamma=90.00
Space group P4/mmm (No. 123)
Unique sites:
Hg 0.000 0.000 0.000 [1 per cell]
Mo 0.000 0.500 0.500 [2 per cell]
Cl 0.500 0.500 0.000 [1 per cell]

---

iii.
HgMo2Cl after structural relaxation. Source: Alexandria via LeMat-Bulk, functional PBE.

- volume (Å³ per atom) = 18.1
- crystal system = orthorhombic

Unit cell a=5.534 b=9.374 c=2.785 alpha=90.00 beta=90.00 gamma=90.00
Space group Cmmm (No. 65)
Unique sites:
Hg 0.000 0.000 0.000 [2 per cell]
Mo 0.250 0.250 0.500 [4 per cell]
Cl 0.000 0.500 0.000 [2 per cell]

---

iv.
HgMo2Cl after structural relaxation. Source: Alexandria via LeMat-Bulk, functional PBE.

- volume (Å³ per atom) = 17.9
- crystal system = cubic

Unit cell a=6.597 b=6.597 c=6.597 alpha=90.00 beta=90.00 gamma=90.00
Space group F-43m (No. 216)
Unique sites:
Hg 0.000 0.000 0.000 [4 per cell]
Mo 0.000 0.000 0.500 [4 per cell]
Mo 0.250 0.250 0.750 [4 per cell]
Cl 0.250 0.250 0.250 [4 per cell]

---

i (58.5 kJ/mol of atoms below the next structure)

---

i.
HgMo2Cl after structural relaxation. Source: Alexandria via LeMat-Bulk, functional PBE.

- volume (Å³ per atom) = 20.4
- crystal system = trigonal

Unit cell a=3.2501 b=3.2501 c=26.7701 alpha=90.00 beta=90.00 gamma=120.00
Space group R3m (No. 160, hexagonal axes)
Unique sites:
Hg 0.0000 0.0000 0.0000 [3 per cell]
Mo 0.0000 0.0000 0.4851 [3 per cell]
Mo 0.0000 0.0000 0.7573 [3 per cell]
Cl 0.0000 0.0000 0.2234 [3 per cell]

---

ii.
HgMo2Cl after structural relaxation. Source: Alexandria via LeMat-Bulk, functional PBE.

- volume (Å³ per atom) = 21.9
- crystal system = monoclinic

Unit cell a=3.441 b=4.908 c=5.218 alpha=90.00 beta=95.83 gamma=90.00
Space group P2/m (No. 10)
Unique sites:
Hg 0.000 0.000 0.000 [1 per cell]
Mo 0.310 0.500 0.162 [2 per cell]
Cl 0.500 0.000 0.500 [1 per cell]

---

iii.
HgMo2Cl after structural relaxation. Source: Alexandria via LeMat-Bulk, functional PBE.

- volume (Å³ per atom) = 18.2
- crystal system = orthorhombic

Unit cell a=2.847 b=4.913 c=5.207 alpha=90.00 beta=90.00 gamma=90.00
Space group Pmmm (No. 47)
Unique sites:
Hg 0.000 0.000 0.000 [1 per cell]
Mo 0.000 0.500 0.500 [1 per cell]
Mo 0.500 0.500 0.000 [1 per cell]
Cl 0.500 0.000 0.500 [1 per cell]

---

iv.
HgMo2Cl after structural relaxation. Source: Alexandria via LeMat-Bulk, functional PBE.

- volume (Å³ per atom) = 24.3
- crystal system = monoclinic

Unit cell a=12.551 b=3.141 c=4.994 alpha=90.00 beta=99.62 gamma=90.00
Space group Cm (No. 8)
Unique sites:
Hg 0.000 0.000 0.000 [2 per cell]
Mo 0.118 0.000 0.557 [2 per cell]
Mo 0.473 0.000 0.486 [2 per cell]
Cl 0.270 0.500 0.417 [2 per cell]

---

i (34.0 kJ/mol of atoms below the next structure)

---

i.
HgMo2Cl after structural relaxation. Source: Alexandria via LeMat-Bulk, functional PBE.

- volume (Å³ per atom) = 18.5
- crystal system = monoclinic

Unit cell a=5.551 b=10.037 c=2.852 alpha=90.00 beta=111.27 gamma=90.00
Space group C2/m (No. 12)
Unique sites:
Hg 0.000 0.000 0.000 [2 per cell]
Mo 0.250 0.250 0.000 [4 per cell]
Cl 0.000 0.500 0.000 [2 per cell]

---

ii.
HgMo2Cl after structural relaxation. Source: Alexandria via LeMat-Bulk, functional PBE.

- volume (Å³ per atom) = 17.9
- crystal system = tetragonal

Unit cell a=4.405 b=4.405 c=7.363 alpha=90.00 beta=90.00 gamma=90.00
Space group I-4m2 (No. 119)
Unique sites:
Hg 0.000 0.000 0.000 [2 per cell]
Mo 0.000 0.000 0.500 [2 per cell]
Mo 0.000 0.500 0.750 [2 per cell]
Cl 0.000 0.500 0.250 [2 per cell]

---

iii.
HgMo2Cl after structural relaxation. Source: Alexandria via LeMat-Bulk, functional PBE.

- volume (Å³ per atom) = 19.8
- crystal system = tetragonal

Unit cell a=4.122 b=4.122 c=18.633 alpha=90.00 beta=90.00 gamma=90.00
Space group I-42d (No. 122)
Unique sites:
Hg 0.000 0.000 0.000 [4 per cell]
Mo 0.176 0.250 0.625 [8 per cell]
Cl 0.000 0.000 0.500 [4 per cell]

---

iv.
HgMo2Cl after structural relaxation. Source: Alexandria via LeMat-Bulk, functional PBE.

- volume (Å³ per atom) = 21.4
- crystal system = orthorhombic

Unit cell a=3.150 b=4.942 c=10.993 alpha=90.00 beta=90.00 gamma=90.00
Space group Imm2 (No. 44)
Unique sites:
Hg 0.000 0.000 0.000 [2 per cell]
Mo 0.000 0.000 0.492 [2 per cell]
Mo 0.000 0.500 0.151 [2 per cell]
Cl 0.000 0.500 0.776 [2 per cell]

---

iv (37.4 kJ/mol of atoms below the next structure)